LaAg2WF PBE+U relaxed; DFT total energy = -2.7002 eV per atom; density of states at the Fermi level = 0.017 states/eV/atom; M_tot = 4.000 μB per formula unit; E above lowest polymorph = 1271.9 meV per atom
1.0
5.753 0.000 0.000
0.000 6.717 0.000
0.000 0.000 5.753
Ag W F La
2 1 1 1
direct
0.000 0.000 0.500
0.500 0.000 0.000
0.000 0.500 0.000
0.500 0.500 0.500
0.000 0.000 0.000